Record 1
{"formula": "Nd2Ni7", "functional": "PBE-GGA", "state": "relaxed", "formation_enthalpy_0k_ev_per_atom": -0.310, "e_above_lowest_polymorph_ev_per_atom": 0.001, "crystal_system": "trigonal", "magnetic_moment_mub_per_fu": 1.00, "lattice": [[-1.062, 12.015, 3.260], [2.988, 12.128, 0.336], [-1.571, 12.278, -1.704]], "species": ["Ni", "Ni", "Ni", "Ni", "Ni", "Nd", "Nd", "Ni", "Ni", "Ni", "Nd", "Ni", "Ni", "Ni", "Ni", "Nd", "Ni", "Ni"], "frac_coords": [[0.612, 0.612, 0.612], [0.388, 0.388, 0.388], [0.500, 0.500, 0.000], [0.722, 0.722, 0.722], [0.392, 0.392, 0.891], [0.051, 0.051, 0.051], [0.147, 0.147, 0.147], [0.109, 0.608, 0.608], [0.608, 0.608, 0.109], [0.500, 0.500, 0.500], [0.853, 0.853, 0.853], [0.000, 0.500, 0.500], [0.608, 0.109, 0.608], [0.392, 0.891, 0.392], [0.891, 0.392, 0.392], [0.949, 0.949, 0.949], [0.278, 0.278, 0.278], [0.500, 0.000, 0.500]]}

=====

Record 2
{"formula": "BaLaTa", "functional": "PBE-GGA", "state": "relaxed", "e_above_lowest_polymorph_ev_per_atom": 0.000, "crystal_system": "cubic", "magnetic_moment_mub_per_fu": 2.22, "lattice": [[0.000, 3.805, 3.805], [3.805, 0.000, 3.805], [3.805, 3.805, 0.000]], "species": ["Ba", "La", "Ta"], "frac_coords": [[0.250, 0.250, 0.250], [0.750, 0.750, 0.750], [0.000, 0.000, 0.000]]}

=====

Record 3
{"formula": "Dy2Y2Er2TmNi2Te2", "functional": "PBE-GGA", "state": "relaxed", "e_above_lowest_polymorph_ev_per_atom": 0.001, "crystal_system": "orthorhombic", "magnetic_moment_mub_per_fu": 0.01, "lattice": [[-3.398, -4.990, 7.126], [8.078, 4.535, 1.184], [-9.281, -0.994, -0.312]], "species": ["Tm", "Ni", "Y", "Dy", "Te", "Y", "Te", "Ni", "Dy", "Er", "Er"], "frac_coords": [[0.477, 0.477, 0.000], [0.168, 0.405, 0.762], [0.026, 0.895, 0.131], [0.393, 0.746, 0.647], [0.741, 0.241, 0.500], [0.764, 0.895, 0.869], [0.142, 0.142, 0.000], [0.643, 0.405, 0.238], [0.100, 0.746, 0.353], [0.412, 0.096, 0.315], [0.781, 0.096, 0.685]]}

=====

Copy entry 3 word for word.
{"formula": "Dy2Y2Er2TmNi2Te2", "functional": "PBE-GGA", "state": "relaxed", "e_above_lowest_polymorph_ev_per_atom": 0.001, "crystal_system": "orthorhombic", "magnetic_moment_mub_per_fu": 0.01, "lattice": [[-3.398, -4.990, 7.126], [8.078, 4.535, 1.184], [-9.281, -0.994, -0.312]], "species": ["Tm", "Ni", "Y", "Dy", "Te", "Y", "Te", "Ni", "Dy", "Er", "Er"], "frac_coords": [[0.477, 0.477, 0.000], [0.168, 0.405, 0.762], [0.026, 0.895, 0.131], [0.393, 0.746, 0.647], [0.741, 0.241, 0.500], [0.764, 0.895, 0.869], [0.142, 0.142, 0.000], [0.643, 0.405, 0.238], [0.100, 0.746, 0.353], [0.412, 0.096, 0.315], [0.781, 0.096, 0.685]]}

=====

What did the second record say?
{"formula": "BaLaTa", "functional": "PBE-GGA", "state": "relaxed", "e_above_lowest_polymorph_ev_per_atom": 0.000, "crystal_system": "cubic", "magnetic_moment_mub_per_fu": 2.22, "lattice": [[0.000, 3.805, 3.805], [3.805, 0.000, 3.805], [3.805, 3.805, 0.000]], "species": ["Ba", "La", "Ta"], "frac_coords": [[0.250, 0.250, 0.250], [0.750, 0.750, 0.750], [0.000, 0.000, 0.000]]}